Below is LiV3OF11 after structural relaxation, with properties calculated at the GGA+U level.

Lattice parameters (Å, degrees): 5.4420 6.3236 7.6411 68.30 69.66 88.88
Space group P1 (No. 1)
Asymmetric unit:
Li 0.0000 0.0000 0.0000 (multiplicity 1)
V 0.3787 0.6241 0.2435 (multiplicity 1)
V 0.6976 0.3638 0.6609 (multiplicity 1)
V 0.9730 0.8432 0.5077 (multiplicity 1)
O 0.0194 0.5626 0.4767 (multiplicity 1)
F 0.1091 0.8255 0.6913 (multiplicity 1)
F 0.2279 0.7629 0.0546 (multiplicity 1)
F 0.3229 0.3493 0.2469 (multiplicity 1)
F 0.3421 0.9035 0.3106 (multiplicity 1)
F 0.3665 0.2398 0.8306 (multiplicity 1)
F 0.5476 0.4907 0.4460 (multiplicity 1)
F 0.6370 0.6630 0.7015 (multiplicity 1)
F 0.7041 0.7622 0.0635 (multiplicity 1)
F 0.8143 0.1288 0.5690 (multiplicity 1)
F 0.8313 0.2503 0.8643 (multiplicity 1)
F 0.8765 0.9810 0.2910 (multiplicity 1)

Density of states at the Fermi level = 0.000 states/eV/atom
Raw total energy = -91.97 eV for the cell shown
Distance to the lowest polymorph of the same formula = 3 meV/atom
Magnetization = 0.188 μB per atom